1.
Ag3PbCl | PBE-GGA | relaxed

Calculated values
Symmetry: Pm-3m
Offset from the most stable computed form (meV/atom): 137

Cell: 5.423 5.423 5.423 Å, 90.00 90.00 90.00°
Element x y z (fractional)
1 Ag 0.000 0.000 0.500
2 Ag 0.000 0.500 0.000
3 Ag 0.500 0.000 0.000
4 Pb 0.000 0.000 0.000
5 Cl 0.500 0.500 0.500

=====

2.
Ag2PbCl | PBE-GGA | relaxed

Calculated values
Symmetry: F-43m
Offset from the most stable computed form (meV/atom): 232

Cell: 5.101 5.101 5.101 Å, 60.00 60.00 60.00°
Element x y z (fractional)
1 Ag 0.000 0.000 0.000
2 Ag 0.250 0.250 0.250
3 Pb 0.500 0.500 0.500
4 Cl 0.750 0.750 0.750

=====

3.
Ag2PbCl | PBE-GGA | relaxed

Calculated values
Symmetry: Imm2
Offset from the most stable computed form (meV/atom): 147

Cell: 6.107 6.107 6.107 Å, 147.11 131.37 59.96°
Element x y z (fractional)
1 Ag 0.000 0.000 0.000
2 Ag 0.787 0.287 0.500
3 Pb 0.498 0.498 0.000
4 Cl 0.232 0.732 0.500

=====

4.
AgPbCl | PBE-GGA | relaxed

Calculated values
Symmetry: Amm2
Offset from the most stable computed form (meV/atom): 30

Cell: 12.848 3.669 3.669 Å, 61.44 90.00 90.00°
Element x y z (fractional)
1 Ag 0.000 0.000 0.000
2 Ag 0.500 0.230 0.230
3 Pb 0.328 0.889 0.889
4 Pb 0.672 0.889 0.889
5 Cl 0.138 0.336 0.336
6 Cl 0.862 0.336 0.336

=====

5.
Ag2PbCl | PBE-GGA | relaxed

Calculated values
Symmetry: P4/mmm
Offset from the most stable computed form (meV/atom): 124

Cell: 3.475 3.475 7.475 Å, 90.00 90.00 90.00°
Element x y z (fractional)
1 Ag 0.000 0.000 0.236
2 Ag 0.000 0.000 0.764
3 Pb 0.500 0.500 0.500
4 Cl 0.500 0.500 0.000

=====

6.
AgPb3Cl7 | PBE-GGA | relaxed

Calculated values
Symmetry: C222_1

Cell: 8.635 8.635 9.402 Å, 90.00 90.00 106.92°
Element x y z (fractional)
1 Ag 0.019 0.019 0.000
2 Ag 0.981 0.981 0.500
3 Pb 0.003 0.552 0.738
4 Pb 0.448 0.448 0.500
5 Pb 0.448 0.997 0.762
6 Pb 0.552 0.003 0.262
7 Pb 0.552 0.552 0.000
8 Pb 0.997 0.448 0.238
9 Cl 0.077 0.344 0.955
10 Cl 0.089 0.911 0.750
11 Cl 0.107 0.345 0.535
12 Cl 0.344 0.077 0.045
13 Cl 0.345 0.107 0.465
14 Cl 0.356 0.644 0.750
15 Cl 0.372 0.628 0.250
16 Cl 0.628 0.372 0.750
17 Cl 0.644 0.356 0.250
18 Cl 0.655 0.893 0.965
19 Cl 0.656 0.923 0.545
20 Cl 0.893 0.655 0.035
21 Cl 0.911 0.089 0.250
22 Cl 0.923 0.656 0.455

=====

7.
Ag2Pb2Cl7 | PBE-GGA | relaxed

Calculated values
Symmetry: Cm
Offset from the most stable computed form (meV/atom): 0

Cell: 7.035 7.035 6.599 Å, 96.85 96.85 97.40°
Element x y z (fractional)
1 Ag 0.000 0.000 0.000
2 Ag 0.585 0.585 0.030
3 Pb 0.029 0.539 0.493
4 Pb 0.539 0.029 0.493
5 Cl 0.222 0.222 0.271
6 Cl 0.270 0.902 0.763
7 Cl 0.328 0.706 0.239
8 Cl 0.706 0.328 0.239
9 Cl 0.752 0.752 0.759
10 Cl 0.860 0.860 0.297
11 Cl 0.902 0.270 0.763

=====

8.
Ag2Pb2Cl | PBE-GGA | relaxed

Calculated values
Symmetry: I4/mmm
Offset from the most stable computed form (meV/atom): 176

Cell: 6.131 6.131 6.131 Å, 127.33 127.33 77.72°
Element x y z (fractional)
1 Ag 0.142 0.142 0.000
2 Ag 0.858 0.858 0.000
3 Pb 0.250 0.750 0.500
4 Pb 0.750 0.250 0.500
5 Cl 0.500 0.500 0.000

=====

| no. | total moment (μB per formula unit) | formation energy (no corrections) (meV/atom) |
| --- | --- | --- |
| 1 | 0.0 | 586 |
| 2 | 0.0 | 66 |
| 3 | 0.0 | -19 |
| 4 | 0.0 | -241 |
| 5 | 0.0 | -42 |
| 6 | 0.0 | -998 |
| 7 | 1.0 | -730 |
| 8 | 0.0 | 82 |